No. 1
A plane-wave DFT calculation with PBE-GGA was carried out for a relaxed structure of CrCuC2.

Output
DOS at the Fermi energy	0.540	states/eV/atom
energy of formation from the pure elements	0.905	eV per atom
SG	No. 122
energy above the most stable polymorph in this dataset	0	meV per atom
uncorrected energy	-7.14	eV per atom

abc: 4.4949 4.4949 5.3948
angles: 65.38 65.38 90.00
Sites, in units of the cell vectors:
1 Cr 0.5000 0.5000 0.0000
2 Cr 0.2500 0.7500 0.5000
3 C 0.5951 0.1250 0.2500
4 C 0.1549 0.6250 0.2500
5 C 0.3750 0.4049 0.7500
6 C 0.8750 0.8451 0.7500
7 Cu 0.0000 0.0000 0.0000
8 Cu 0.7500 0.2500 0.5000


No. 2
A plane-wave DFT calculation with PBE-GGA was carried out for a relaxed structure of CrCuC.

Output
DOS at the Fermi energy	0.511	states/eV/atom
energy of formation from the pure elements	0.235	eV per atom
SG	No. 123
energy above the most stable polymorph in this dataset	0	meV per atom
uncorrected energy	-7.41	eV per atom

abc: 2.7948 2.7948 4.0034
angles: 90.00 90.00 90.00
Sites, in units of the cell vectors:
1 Cr 0.0000 0.0000 0.9470
2 C 0.5000 0.5000 0.9471
3 Cu 0.5000 0.5000 0.4472


No. 3
A plane-wave DFT calculation with PBE-GGA was carried out for a relaxed structure of CrCuC.

Output
DOS at the Fermi energy	0.806	states/eV/atom
energy of formation from the pure elements	0.487	eV per atom
SG	No. 156
energy above the most stable polymorph in this dataset	253	meV per atom
uncorrected energy	-7.16	eV per atom

abc: 2.9511 2.9511 4.2295
angles: 90.00 90.00 120.00
Sites, in units of the cell vectors:
1 Cr 0.0000 0.0000 0.8817
2 C 0.6667 0.3333 0.0842
3 Cu 0.3333 0.6667 0.3752


No. 4
A plane-wave DFT calculation with PBE-GGA was carried out for a relaxed structure of CrCuC3.

Output
DOS at the Fermi energy	1.385	states/eV/atom
energy of formation from the pure elements	2.805	eV per atom
SG	No. 221
energy above the most stable polymorph in this dataset	961	meV per atom
uncorrected energy	-5.47	eV per atom

abc: 3.7292 3.7292 3.7292
angles: 90.00 90.00 90.00
Sites, in units of the cell vectors:
1 Cr 0.5000 0.5000 0.5000
2 C 0.0000 0.5000 0.0000
3 C 0.0000 0.0000 0.5000
4 C 0.5000 0.0000 0.0000
5 Cu 0.0000 0.0000 0.0000


No. 5
A plane-wave DFT calculation with PBE-GGA was carried out for a relaxed structure of CrCuC.

Output
DOS at the Fermi energy	1.163	states/eV/atom
energy of formation from the pure elements	0.510	eV per atom
SG	No. 160
energy above the most stable polymorph in this dataset	276	meV per atom
uncorrected energy	-7.14	eV per atom

abc: 2.7538 2.7538 13.9127
angles: 90.00 90.00 120.00
Sites, in units of the cell vectors:
1 Cr 0.0000 0.0000 0.2850
2 Cr 0.3333 0.6667 0.9517
3 Cr 0.6667 0.3333 0.6184
4 C 0.0000 0.0000 0.6967
5 C 0.3333 0.6667 0.3634
6 C 0.6667 0.3333 0.0300
7 Cu 0.0000 0.0000 0.4661
8 Cu 0.3333 0.6667 0.1328
9 Cu 0.6667 0.3333 0.7994


No. 6
A plane-wave DFT calculation with PBE-GGA was carried out for a relaxed structure of CrCuC.

Output
DOS at the Fermi energy	0.595	states/eV/atom
energy of formation from the pure elements	0.473	eV per atom
SG	No. 160
energy above the most stable polymorph in this dataset	238	meV per atom
uncorrected energy	-7.17	eV per atom

abc: 2.9765 2.9759 4.4969
angles: 70.65 70.65 60.01
Sites, in units of the cell vectors:
1 Cr 0.5545 0.5757 0.0101
2 C 0.2857 0.3069 0.8165
3 Cu 0.0533 0.0737 0.5146